LaTbPrGd | Alexandria via LeMat-Bulk | PBE-GGA | optimized geometry; formation enthalpy at 0 K = 10 kJ/mol of atoms; ρ = 7.1 g/cm3; crystal system = cubic
1.0
8.2173 0.0000 0.0000
0.0000 8.2173 0.0000
0.0000 0.0000 8.2173
La Tb Pr Gd
4 4 4 4
direct
0.0000 0.0000 0.0000
0.0000 0.5000 0.5000
0.5000 0.0000 0.5000
0.5000 0.5000 0.0000
0.2500 0.2500 0.7500
0.2500 0.7500 0.2500
0.7500 0.2500 0.2500
0.7500 0.7500 0.7500
0.0000 0.0000 0.5000
0.0000 0.5000 0.0000
0.5000 0.0000 0.0000
0.5000 0.5000 0.5000
0.2500 0.2500 0.2500
0.2500 0.7500 0.7500
0.7500 0.2500 0.7500
0.7500 0.7500 0.2500